Run P
DFT (PBE) results for a geometry-optimized Ti4InC structure.

a = 4.0943 Å, b = 4.0943 Å, c = 6.3407 Å
α = 90.00°, β = 90.00°, γ = 90.00°
Last column: nearest neighbours and their distance in Å.
Space group P4/mmm (No. 123)
One atom of each set of equivalent atoms:
Ti: 0.0000 0.0000 0.1664 (multiplicity 2)  1 Ti 2.11, 1 C 2.12
Ti: 0.0000 0.5000 0.5000 (multiplicity 2)  2 C 2.05
In: 0.5000 0.5000 0.0000 (multiplicity 1)  8 Ti 3.08
C: 0.0000 0.0000 0.5000 (multiplicity 1)  6 Ti 2.05-2.12

The magnetization is 0.45 μB per formula unit.

Run Q
DFT (PBE) results for a geometry-optimized Ti4InC structure.

a = 4.4226 Å, b = 14.4317 Å, c = 5.9405 Å
α = 90.00°, β = 90.00°, γ = 90.00°
Last column: nearest neighbours and their distance in Å.
Space group Cmcm (No. 63)
One atom of each set of equivalent atoms:
Ti: 0.0000 0.0000 0.0000 (multiplicity 4)  2 C 2.08
Ti: 0.0000 0.2032 0.0026 (multiplicity 8)  1 C 2.08
Ti: 0.0000 0.3908 0.7500 (multiplicity 4)  2 C 2.21
In: 0.0000 0.3936 0.2500 (multiplicity 4)  13 Ti 2.97-3.12
C: 0.0000 0.1012 0.2500 (multiplicity 4)  6 Ti 2.08-2.21

The magnetization is 0.00 μB per formula unit.

Most stable: run Q. Least stable: run P.

Run P
DFT (PBE) results for a geometry-optimized Tl2InC structure.

a = 6.6239 Å, b = 6.6239 Å, c = 9.9144 Å
α = 90.00°, β = 90.00°, γ = 90.00°
Last column: nearest neighbours and their distance in Å.
Space group I-42d (No. 122)
One atom of each set of equivalent atoms:
Tl: 0.1507 0.2500 0.1250 (multiplicity 8)  2 C 2.30
In: 0.0000 0.0000 0.5000 (multiplicity 4)  4 Tl 3.10
C: 0.0000 0.0000 0.0000 (multiplicity 4)  4 Tl 2.30

The magnetization is 0.00 μB per formula unit.

Run Q
DFT (PBE) results for a geometry-optimized Tl2InC structure.

a = 7.2399 Å, b = 7.2399 Å, c = 7.2399 Å
α = 90.00°, β = 90.00°, γ = 90.00°
Last column: nearest neighbours and their distance in Å.
Space group Fm-3m (No. 225)
One atom of each set of equivalent atoms:
Tl: 0.2500 0.2500 0.2500 (multiplicity 8)  4 In 3.13, 4 C 3.13
In: 0.0000 0.0000 0.0000 (multiplicity 4)  8 Tl 3.13
C: 0.0000 0.0000 0.5000 (multiplicity 4)  8 Tl 3.13

The magnetization is 0.00 μB per formula unit.

Most stable: run P. Least stable: run Q.

Run P
DFT (PBE) results for a geometry-optimized Tl3InC structure.

a = 5.8363 Å, b = 5.8363 Å, c = 5.8363 Å
α = 90.00°, β = 90.00°, γ = 90.00°
Last column: nearest neighbours and their distance in Å.
Space group Pm-3m (No. 221)
One atom of each set of equivalent atoms:
Tl: 0.0000 0.0000 0.5000 (multiplicity 3)  2 In 2.92
In: 0.0000 0.0000 0.0000 (multiplicity 1)  6 Tl 2.92
C: 0.5000 0.5000 0.5000 (multiplicity 1)  12 Tl 4.13

The magnetization is 2.18 μB per formula unit.

Run Q
DFT (PBE) results for a geometry-optimized Tl3InC structure.

a = 5.1055 Å, b = 5.1055 Å, c = 5.1055 Å
α = 90.00°, β = 90.00°, γ = 90.00°
Last column: nearest neighbours and their distance in Å.
Space group Pm-3m (No. 221)
One atom of each set of equivalent atoms:
Tl: 0.0000 0.0000 0.5000 (multiplicity 3)  2 C 2.55
In: 0.5000 0.5000 0.5000 (multiplicity 1)  12 Tl 3.61
C: 0.0000 0.0000 0.0000 (multiplicity 1)  6 Tl 2.55

The magnetization is 0.00 μB per formula unit.

Most stable: run Q. Least stable: run P.

Run P
DFT (PBE) results for a geometry-optimized Tm4In2C structure.

a = 6.1866 Å, b = 3.5525 Å, c = 8.4060 Å
α = 90.00°, β = 108.03°, γ = 90.00°
Last column: nearest neighbours and their distance in Å.
Space group P2/m (No. 10)
One atom of each set of equivalent atoms:
Tm: 0.1332 0.0000 0.2831 (multiplicity 2)  1 C 2.43
Tm: 0.3605 0.5000 0.6397 (multiplicity 2)  2 C 2.43
In: 0.2556 0.5000 0.9960 (multiplicity 2)  2 In 3.00-3.18, 6 Tm 3.24-3.31
C: 0.5000 0.0000 0.5000 (multiplicity 1)  6 Tm 2.43

The magnetization is 0.90 μB per formula unit.

Run Q
DFT (PBE) results for a geometry-optimized Tm4In2C structure.

a = 4.8437 Å, b = 4.8437 Å, c = 15.0992 Å
α = 90.00°, β = 90.00°, γ = 90.00°
Last column: nearest neighbours and their distance in Å.
Space group I4/mmm (No. 139)
One atom of each set of equivalent atoms:
Tm: 0.0000 0.0000 0.1605 (multiplicity 4)  1 C 2.42
Tm: 0.0000 0.5000 0.0000 (multiplicity 4)  2 C 2.42
In: 0.0000 0.0000 0.3669 (multiplicity 4)  9 Tm 3.12-3.45
C: 0.0000 0.0000 0.0000 (multiplicity 2)  6 Tm 2.42

The magnetization is 0.00 μB per formula unit.

Most stable: run Q. Least stable: run P.

Run P
DFT (PBE) results for a geometry-optimized VInC3 structure.

a = 4.2410 Å, b = 4.2410 Å, c = 4.2410 Å
α = 90.00°, β = 90.00°, γ = 90.00°
Last column: nearest neighbours and their distance in Å.
Space group Pm-3m (No. 221)
One atom of each set of equivalent atoms:
V: 0.0000 0.0000 0.0000 (multiplicity 1)  12 C 3.00
In: 0.5000 0.5000 0.5000 (multiplicity 1)  6 C 2.12
C: 0.0000 0.5000 0.5000 (multiplicity 3)  2 In 2.12

The magnetization is 2.60 μB per formula unit.

Run Q
DFT (PBE) results for a geometry-optimized VInC3 structure.

a = 4.0028 Å, b = 4.0028 Å, c = 4.0028 Å
α = 90.00°, β = 90.00°, γ = 90.00°
Last column: nearest neighbours and their distance in Å.
Space group Pm-3m (No. 221)
One atom of each set of equivalent atoms:
V: 0.0000 0.0000 0.0000 (multiplicity 1)  6 C 2.00
In: 0.5000 0.5000 0.5000 (multiplicity 1)  12 C 2.83
C: 0.0000 0.0000 0.5000 (multiplicity 3)  2 V 2.00

The magnetization is 0.00 μB per formula unit.

Most stable: run Q. Least stable: run P.

Run P
DFT (PBE) results for a geometry-optimized InW3C structure.

a = 4.2311 Å, b = 4.2311 Å, c = 4.2311 Å
α = 90.00°, β = 90.00°, γ = 90.00°
Last column: nearest neighbours and their distance in Å.
Space group Pm-3m (No. 221)
One atom of each set of equivalent atoms:
In: 0.0000 0.0000 0.0000 (multiplicity 1)  12 W 2.99
W: 0.0000 0.5000 0.5000 (multiplicity 3)  2 C 2.12
C: 0.5000 0.5000 0.5000 (multiplicity 1)  6 W 2.12

The magnetization is 0.00 μB per formula unit.

Run Q
DFT (PBE) results for a geometry-optimized InW3C structure.

a = 4.8802 Å, b = 4.8802 Å, c = 4.8802 Å
α = 90.00°, β = 90.00°, γ = 90.00°
Last column: nearest neighbours and their distance in Å.
Space group Pm-3m (No. 221)
One atom of each set of equivalent atoms:
In: 0.0000 0.0000 0.0000 (multiplicity 1)  6 W 2.44
W: 0.0000 0.0000 0.5000 (multiplicity 3)  2 In 2.44
C: 0.5000 0.5000 0.5000 (multiplicity 1)  12 W 3.45

The magnetization is 0.00 μB per formula unit.

Most stable: run P. Least stable: run Q.